Below is crystalline HfTaRe2 at its relaxed geometry, with properties calculated at the PBE-GGA level.

Output
energy above the lowest structure with this stoichiometry	980	meV per atom

Lattice parameters (Å, degrees): 7.2888 7.2888 5.8532 51.49 51.49 90.00
With the nearest neighbours (Å) after each atom.
Sites, in units of the cell vectors:
Re1 0.3750 0.3615 0.7500  2 Ta 2.60, 2 Hf 2.74, 2 Re 2.78
Re2 0.1115 0.6250 0.2500  2 Ta 2.60, 2 Hf 2.74, 2 Re 2.78
Hf1 0.5000 0.5000 0.0000  4 Re 2.74, 2 Ta 2.77
Ta1 0.7500 0.2500 0.5000  4 Re 2.60, 2 Hf 2.77
Re3 0.6385 0.1250 0.2500  2 Ta 2.60, 2 Hf 2.74, 2 Re 2.78
Re4 0.8750 0.8885 0.7500  2 Ta 2.60, 2 Hf 2.74, 2 Re 2.78
Hf2 0.2500 0.7500 0.5000  4 Re 2.74, 2 Ta 2.77
Ta2 0.0000 0.0000 0.0000  4 Re 2.60, 2 Hf 2.77



Below is crystalline HfTa2Re at its relaxed geometry, with properties calculated at the PBE-GGA level.

Lattice parameters (Å, degrees): 3.2594 4.6545 5.5306 114.85 107.14 90.00
With the nearest neighbours (Å) after each atom.
Sites, in units of the cell vectors:
Ta1 0.7661 0.7663 0.5322  2 Re 2.75, 4 Ta 2.86, 2 Hf 3.01
Ta2 0.2339 0.2337 0.4678  2 Re 2.75, 4 Ta 2.86, 2 Hf 3.01
Hf1 0.0000 0.5000 0.0000  4 Re 2.84, 4 Ta 3.01
Re1 0.5000 0.0000 0.0000  4 Ta 2.75, 4 Hf 2.84



Below is crystalline Hf2TaRe at its relaxed geometry, with properties calculated at the PBE-GGA level.

Output
energy above the lowest structure with this stoichiometry	72	meV per atom

Lattice parameters (Å, degrees): 4.7222 4.7222 4.7222 60.00 60.00 60.00
With the nearest neighbours (Å) after each atom.
Sites, in units of the cell vectors:
Re1 0.0000 0.0000 0.0000  8 Hf 2.89
Ta1 0.5000 0.5000 0.5000  8 Hf 2.89
Hf1 0.2500 0.2500 0.2500  4 Re 2.89, 4 Ta 2.89
Hf2 0.7500 0.7500 0.7500  4 Ta 2.89, 4 Re 2.89



Below is crystalline Hf2TaRe at its relaxed geometry, with properties calculated at the PBE-GGA level.

Output
energy above the lowest structure with this stoichiometry	658	meV per atom

Lattice parameters (Å, degrees): 7.6087 7.6087 6.0711 51.20 51.20 90.00
With the nearest neighbours (Å) after each atom.
Sites, in units of the cell vectors:
Re1 0.7500 0.2500 0.5000  4 Hf 2.63, 2 Ta 2.81
Ta1 0.5000 0.5000 0.0000  2 Re 2.81, 4 Hf 2.94
Re2 0.0000 0.0000 0.0000  4 Hf 2.63, 2 Ta 2.81
Hf1 0.0948 0.6250 0.2500  2 Re 2.63, 2 Hf 2.85, 2 Ta 2.94
Ta2 0.2500 0.7500 0.5000  2 Re 2.81, 4 Hf 2.94
Hf2 0.8750 0.9052 0.7500  2 Re 2.63, 2 Hf 2.85, 2 Ta 2.94
Hf3 0.6552 0.1250 0.2500  2 Re 2.63, 2 Hf 2.85, 2 Ta 2.94
Hf4 0.3750 0.3448 0.7500  2 Re 2.63, 2 Hf 2.85, 2 Ta 2.94



Below is crystalline Hf3TaRe4 at its relaxed geometry, with properties calculated at the PBE-GGA level.

Lattice parameters (Å, degrees): 3.2509 3.2509 13.0671 90.00 90.00 90.00
With the nearest neighbours (Å) after each atom.
Sites, in units of the cell vectors:
Re1 0.0000 0.0000 0.3732  8 Hf 2.82-2.83
Re2 0.0000 0.0000 0.1191  4 Ta 2.78, 4 Hf 2.85
Hf1 0.5000 0.5000 0.2484  8 Re 2.82-2.85
Re3 0.0000 0.0000 0.6268  8 Hf 2.82-2.83
Hf2 0.5000 0.5000 0.7516  8 Re 2.82-2.85
Hf3 0.5000 0.5000 0.5000  8 Re 2.83
Re4 0.0000 0.0000 0.8809  4 Ta 2.78, 4 Hf 2.85
Ta1 0.5000 0.5000 0.0000  8 Re 2.78



Below is crystalline HfTa4Re at its relaxed geometry, with properties calculated at the PBE-GGA level.

Lattice parameters (Å, degrees): 4.6833 5.4670 5.5364 61.88 64.98 64.64
With the nearest neighbours (Å) after each atom.
Sites, in units of the cell vectors:
Hf1 0.0000 0.5000 0.5000  2 Re 2.83, 6 Ta 2.93-2.96
Ta1 0.6817 0.4786 0.1579  1 Re 2.75, 5 Ta 2.79-2.92, 2 Hf 2.93
Re1 0.0000 0.0000 0.0000  6 Ta 2.75-2.82, 2 Hf 2.83
Ta2 0.6546 0.0073 0.6834  2 Re 2.82, 6 Ta 2.83-3.15, 1 Hf 2.96
Ta3 0.3454 0.9927 0.3166  2 Re 2.82, 6 Ta 2.83-3.15, 1 Hf 2.96
Ta4 0.3183 0.5214 0.8421  1 Re 2.75, 5 Ta 2.79-2.92, 2 Hf 2.93



Below is crystalline HfTaRe2Tc at its relaxed geometry, with properties calculated at the PBE-GGA level.

Lattice parameters (Å, degrees): 4.6974 4.9234 4.6974 90.00 90.00 90.00
With the nearest neighbours (Å) after each atom.
Sites, in units of the cell vectors:
Re1 0.5000 0.0000 0.0000  2 Ta 2.35
Ta1 0.0000 0.0000 0.0000  4 Re 2.35, 2 Hf 2.46
Re2 0.0000 0.0000 0.5000  2 Ta 2.35
Hf1 0.0000 0.5000 0.0000  2 Ta 2.46
Tc1 0.5000 0.5000 0.5000  4 Hf 3.32, 8 Re 3.40



Below is crystalline HfTa2TlRe at its relaxed geometry, with properties calculated at the PBE-GGA level.

Lattice parameters (Å, degrees): 5.0051 4.9166 5.0051 90.00 90.00 90.00
With the nearest neighbours (Å) after each atom.
Sites, in units of the cell vectors:
Ta1 0.5000 0.0000 0.0000  2 Tl 2.50
Tl1 0.0000 0.0000 0.0000  2 Re 2.46, 4 Ta 2.50
Re1 0.0000 0.5000 0.0000  2 Tl 2.46
Hf1 0.5000 0.5000 0.5000  8 Ta 3.51, 4 Re 3.54
Ta2 0.0000 0.0000 0.5000  2 Tl 2.50



Below is crystalline Hf2TaVRe at its relaxed geometry, with properties calculated at the PBE-GGA level.

Lattice parameters (Å, degrees): 4.7281 4.5213 4.7281 90.00 90.00 90.00
With the nearest neighbours (Å) after each atom.
Sites, in units of the cell vectors:
V1 0.0000 0.0000 0.0000  2 Ta 2.26, 4 Hf 2.36
Hf1 0.5000 0.0000 0.0000  2 V 2.36
Hf2 0.0000 0.0000 0.5000  2 V 2.36
Re1 0.5000 0.5000 0.5000  8 Hf 3.27, 4 Ta 3.34
Ta1 0.0000 0.5000 0.0000  2 V 2.26



Below is crystalline TbHfRe at its relaxed geometry, with properties calculated at the PBE-GGA level.

Lattice parameters (Å, degrees): 4.6777 4.7606 12.4626 90.00 90.00 90.00
With the nearest neighbours (Å) after each atom.
Sites, in units of the cell vectors:
Re1 0.0000 0.7498 0.2519  4 Hf 2.74-2.80, 4 Tb 2.96-2.97
Re2 0.5000 0.7502 0.7519  4 Hf 2.74-2.80, 4 Tb 2.96-2.97
Tb1 0.0000 0.7501 0.6057  4 Re 2.96-2.97, 1 Hf 3.24
Tb2 0.0000 0.2499 0.3943  4 Re 2.96-2.97, 1 Hf 3.24
Re3 0.5000 0.2498 0.2481  4 Hf 2.74-2.80, 4 Tb 2.96-2.97
Tb3 0.5000 0.2501 0.8943  4 Re 2.96-2.97, 1 Hf 3.24
Re4 0.0000 0.2502 0.7481  4 Hf 2.74-2.80, 4 Tb 2.96-2.97
Tb4 0.5000 0.7499 0.1057  4 Re 2.96-2.97, 1 Hf 3.24
Hf1 0.5000 0.2502 0.6340  4 Re 2.74-2.80
Hf2 0.0000 0.2498 0.1340  4 Re 2.74-2.80
Hf3 0.5000 0.7498 0.3660  4 Re 2.74-2.80
Hf4 0.0000 0.7502 0.8660  4 Re 2.74-2.80



Below is crystalline TbHfZnRe at its relaxed geometry, with properties calculated at the PBE-GGA level.

Lattice parameters (Å, degrees): 4.7991 4.7991 4.7991 60.00 60.00 60.00
With the nearest neighbours (Å) after each atom.
Sites, in units of the cell vectors:
Tb1 0.7500 0.7500 0.7500  4 Re 2.94, 4 Zn 2.94
Zn1 0.0000 0.0000 0.0000  4 Hf 2.94, 4 Tb 2.94
Re1 0.5000 0.5000 0.5000  4 Tb 2.94, 4 Hf 2.94
Hf1 0.2500 0.2500 0.2500  4 Re 2.94, 4 Zn 2.94



Below is crystalline HfReTc at its relaxed geometry, with properties calculated at the PBE-GGA level.

Output
energy above the lowest structure with this stoichiometry	147	meV per atom

Lattice parameters (Å, degrees): 3.2043 3.2043 5.3527 107.42 107.42 90.00
With the nearest neighbours (Å) after each atom.
Sites, in units of the cell vectors:
Tc1 0.6223 0.6223 0.2447  4 Re 2.72, 4 Hf 2.81
Re1 0.2771 0.2771 0.5542  4 Tc 2.72, 4 Hf 2.82
Hf1 0.9505 0.9505 0.9011  4 Tc 2.81, 4 Re 2.82



Below is crystalline Hf4ReTc2 at its relaxed geometry, with properties calculated at the PBE-GGA level.

Lattice parameters (Å, degrees): 5.6144 5.6144 5.6144 109.06 109.68 109.68
With the nearest neighbours (Å) after each atom.
Sites, in units of the cell vectors:
Hf1 0.0000 0.5000 0.0000  2 Re 2.81, 4 Tc 2.81
Re1 0.0000 0.0000 0.0000  8 Hf 2.81
Tc1 0.5000 0.5000 0.0000  8 Hf 2.81
Hf2 0.5000 0.0000 0.0000  4 Tc 2.81, 2 Re 2.81
Hf3 0.0000 0.0000 0.5000  2 Re 2.81, 4 Tc 2.81
Hf4 0.5000 0.5000 0.5000  4 Tc 2.81, 2 Re 2.81
Tc2 0.5000 0.0000 0.5000  8 Hf 2.81



So what do the calculations give for total magnetic moment? Going down the list: 0.0, 0.0, 0.0, 0.0, 0.0, 0.0, 1.5, 0.0, 0.0, 0.0, 0.0, 0.0, 0.0 μB/f.u..
So what do the calculations give for raw total energy? Going down the list: -11.100, -11.750, -11.070, -10.484, -11.798, -11.750, -9.295, -7.346, -9.418, -9.021, -7.167, -11.152, -10.638 eV per atom.
So what do the calculations give for formation energy? Going down the list: 576, -224, -18, 568, -359, -115, 2118, 2349, 1247, -10, -90, -230, -210 meV per atom.